VASP calculation (PBE) on a relaxed structure of TaIn4Au. Values from VASP.

Results
final energy: -3.67 eV per atom
formation energy: 0.680 eV/atom
N(E_F): 0.817 states/eV per atom
V: 137.3 Å³ per cell

The structure in Quantum ESPRESSO input format:
```
&SYSTEM
  ibrav = 0, nat = 6, ntyp = 3
/
ATOMIC_SPECIES
Ta 180.95 Ta.upf
In 114.82 In.upf
Au 196.97 Au.upf
CELL_PARAMETERS angstrom
0.0000 4.0943 4.0943
4.0943 0.0000 4.0943
4.0943 4.0943 0.0000
ATOMIC_POSITIONS crystal
Ta 0.0000 0.0000 0.0000
In 0.3751 0.3751 0.3751
In 0.3751 0.3751 0.8748
In 0.3751 0.8748 0.3751
In 0.8748 0.3751 0.3751
Au 0.7500 0.7500 0.7500
```